1.
AsPd3N PBE optimized geometry; uncorrected formation energy = 1.25 eV per atom; offset from the most stable computed form = 0.9925 eV per atom; SG = No. 221; total DFT energy (no corrections) = -4.4581 eV per atom
1.0
-1.612 4.375 0.159
-4.333 -1.570 -0.726
-0.627 -0.399 4.606
Pd N As
3 1 1
direct
0.000 0.500 0.000 Pd
0.500 0.000 0.000 Pd
0.000 0.000 0.500 Pd
0.500 0.500 0.500 N
0.000 0.000 0.000 As


2.
LaReCl2 PBE optimized geometry; uncorrected formation energy = 0.23 eV per atom; offset from the most stable computed form = 0.6959 eV per atom; SG = No. 216; total DFT energy (no corrections) = -5.0417 eV per atom
1.0
5.153 0.000 0.000
2.576 4.462 0.000
2.576 1.487 4.207
Cl La Re
2 1 1
direct
0.250 0.250 0.250 Cl
0.000 0.000 0.000 Cl
0.500 0.500 0.500 La
0.750 0.750 0.750 Re


3.
Cs6HgHAu2 PBE optimized geometry; SG = No. 146; total DFT energy (no corrections) = -1.7133 eV per atom
1.0
8.856 -0.001 0.000
4.427 7.668 0.000
4.427 2.556 8.157
Cs H Au Hg
6 1 2 1
direct
0.295 0.942 0.229 Cs
0.942 0.534 0.230 Cs
0.110 0.391 0.773 Cs
0.725 0.110 0.773 Cs
0.534 0.295 0.230 Cs
0.391 0.726 0.773 Cs
0.332 0.332 0.004 H
0.504 0.504 0.489 Au
0.976 0.976 0.072 Au
0.853 0.853 0.442 Hg


4.
PaPb2S5 PBE optimized geometry; uncorrected formation energy = -0.83 eV per atom; offset from the most stable computed form = 0.0000 eV per atom; SG = No. 63; total DFT energy (no corrections) = -5.5204 eV per atom
1.0
5.284 0.000 0.000
-2.642 7.060 0.000
0.000 0.000 13.641
Pb S Pa
4 10 2
direct
0.857 0.715 0.048 Pb
0.143 0.285 0.548 Pb
0.143 0.285 0.952 Pb
0.857 0.715 0.452 Pb
0.284 0.569 0.750 S
0.049 0.098 0.374 S
0.049 0.098 0.126 S
0.951 0.902 0.874 S
0.692 0.384 0.906 S
0.308 0.616 0.406 S
0.716 0.431 0.250 S
0.951 0.902 0.626 S
0.692 0.384 0.594 S
0.308 0.616 0.094 S
0.813 0.625 0.750 Pa
0.187 0.375 0.250 Pa


5.
As2SeCl PBE optimized geometry; uncorrected formation energy = 0.14 eV per atom; offset from the most stable computed form = 0.2708 eV per atom; SG = No. 10; total DFT energy (no corrections) = -3.5187 eV per atom
1.0
3.960 0.000 0.000
0.000 2.857 -0.033
0.000 -2.899 7.809
As Cl Se
2 1 1
direct
0.000 0.000 0.998 As
0.000 0.500 0.502 As
0.500 0.250 0.250 Cl
0.500 0.750 0.750 Se


6.
Ag3Te2 PBE optimized geometry; uncorrected formation energy = 0.01 eV per atom; offset from the most stable computed form = 0.0365 eV per atom; SG = No. 43; total DFT energy (no corrections) = -2.9609 eV per atom
1.0
6.219 -14.272 -3.957
8.447 -13.034 0.145
-3.800 -2.727 -1.202
Ag Te
6 4
direct
0.250 0.250 0.250 Ag
0.719 0.479 0.530 Ag
0.000 0.000 0.000 Ag
0.771 0.531 0.978 Ag
0.720 0.978 0.531 Ag
0.272 0.530 0.479 Ag
0.605 0.279 0.712 Te
0.404 0.712 0.279 Te
0.971 0.645 0.846 Te
0.538 0.846 0.645 Te


7.
Sm2Al2Zn15 PBE optimized geometry; SG = No. 166; total DFT energy (no corrections) = -2.1402 eV per atom
1.0
-5.479 -3.448 -2.185
0.950 -5.566 3.847
-4.184 1.803 5.092
Zn Al Sm
15 2 2
direct
0.837 0.352 0.352 Zn
0.648 0.163 0.648 Zn
0.000 0.701 0.299 Zn
0.352 0.837 0.352 Zn
0.299 0.701 0.000 Zn
0.352 0.352 0.837 Zn
0.648 0.648 0.163 Zn
0.299 0.000 0.701 Zn
0.701 0.000 0.299 Zn
0.163 0.648 0.648 Zn
0.701 0.299 0.000 Zn
0.000 0.299 0.701 Zn
0.000 0.500 0.000 Zn
0.000 0.000 0.500 Zn
0.500 0.000 0.000 Zn
0.901 0.901 0.901 Al
0.099 0.099 0.099 Al
0.336 0.336 0.336 Sm
0.664 0.664 0.664 Sm


8.
CrCdOs2 PBE optimized geometry; SG = No. 119; total DFT energy (no corrections) = -7.6131 eV per atom
1.0
-2.815 -3.905 0.449
2.615 -4.023 -0.594
0.621 3.901 2.788
Os Cd Cr
2 1 1
direct
0.000 0.000 0.000 Os
0.250 0.750 0.500 Os
0.500 0.500 0.000 Cd
0.750 0.250 0.500 Cr


9.
CaHgPd2 PBE optimized geometry; SG = No. 71; total DFT energy (no corrections) = -3.1489 eV per atom
1.0
5.084 -1.771 -3.102
-1.408 5.196 3.102
-3.433 -0.001 5.179
Pd Hg Ca
2 1 1
direct
0.000 0.252 0.252 Pd
0.000 0.748 0.748 Pd
0.000 0.500 0.500 Hg
0.000 0.000 0.000 Ca


10.
ZnRePI2 PBE optimized geometry; uncorrected formation energy = 1.41 eV per atom; SG = No. 123; total DFT energy (no corrections) = -3.0320 eV per atom
1.0
-3.614 2.771 3.604
-1.655 -4.040 1.446
4.037 -0.160 4.171
P Zn I Re
1 1 2 1
direct
0.000 0.000 0.000 P
0.000 0.500 0.000 Zn
0.000 0.000 0.500 I
0.500 0.000 0.000 I
0.500 0.500 0.500 Re


11.
Zr2AlP PBE optimized geometry; offset from the most stable computed form = 0.2002 eV per atom; SG = No. 123; total DFT energy (no corrections) = -7.2035 eV per atom
1.0
-2.090 -1.947 -1.442
-0.549 -1.474 2.786
-5.380 4.713 1.433
Al Zr P
1 2 1
direct
0.500 0.500 0.250 Al
0.000 0.000 0.968 Zr
0.000 0.000 0.532 Zr
0.500 0.500 0.750 P


12.
TaCrIn2 PBE optimized geometry; offset from the most stable computed form = 0.1001 eV per atom; SG = No. 166; total DFT energy (no corrections) = -6.3399 eV per atom
1.0
9.653 -0.043 -0.025
9.164 3.032 -0.025
9.164 1.456 2.660
In Cr Ta
2 1 1
direct
0.498 0.498 0.498 In
0.002 0.002 0.002 In
0.750 0.750 0.750 Cr
0.250 0.250 0.250 Ta


What did the third record say?
Cs6HgHAu2 PBE optimized geometry; SG = No. 146; total DFT energy (no corrections) = -1.7133 eV per atom
1.0
8.856 -0.001 0.000
4.427 7.668 0.000
4.427 2.556 8.157
Cs H Au Hg
6 1 2 1
direct
0.295 0.942 0.229 Cs
0.942 0.534 0.230 Cs
0.110 0.391 0.773 Cs
0.725 0.110 0.773 Cs
0.534 0.295 0.230 Cs
0.391 0.726 0.773 Cs
0.332 0.332 0.004 H
0.504 0.504 0.489 Au
0.976 0.976 0.072 Au
0.853 0.853 0.442 Hg


What is the formula in the fourth record?
PaPb2S5